Entry a
The following is a PBE calculation of a relaxed structure of K2MoOs2, from Alexandria.

Calculated values
Its density of states at the Fermi level is 8.04 states/eV per cell.

POSCAR file:
```
K2MoOs2
1.0
-2.232 4.906 -3.352
-4.780 -3.609 -2.100
-3.327 1.683 4.679
K Mo Os
4 2 4
direct
0.177 0.677 0.500
0.823 0.323 0.500
0.677 0.823 0.500
0.323 0.177 0.500
0.500 0.500 0.000
0.000 0.000 0.000
0.366 0.866 0.000
0.866 0.634 0.000
0.134 0.366 0.000
0.634 0.134 0.000
```

=====

Entry b
The following is a PBE calculation of a relaxed structure of K2MoOs2, from Alexandria.

Calculated values
Its density of states at the Fermi level is 6.17 states/eV per cell.

POSCAR file:
```
K2MoOs2
1.0
-0.343 -3.535 0.019
1.374 -0.151 -3.272
7.959 -2.549 1.533
K Mo Os
2 1 2
direct
0.750 0.250 0.500
0.250 0.750 0.500
0.000 0.000 0.000
0.576 0.576 0.848
0.424 0.424 0.152
```

=====

Of them, entry b has the lowest stability.